CrPRh2: relaxed, PBE.

Lattice parameters (Å, degrees): 2.8020 2.8020 6.5410 90.00 90.00 90.00
With the nearest neighbours (Å) after each atom.
Atoms (fractional coordinates):
Cr  0.0000  0.0000  0.0000  4 P 2.41, 4 Rh 2.57
P  0.5000  0.5000  0.2100  4 Cr 2.41, 4 Rh 2.43
Rh  0.0000  0.0000  0.4257  4 P 2.43
Rh  0.5000  0.5000  0.7495  4 Cr 2.57, 4 Rh 2.80

Properties
Electronic total energy, eV per atom: -7.7127
DOS at the Fermi energy, states/eV/cell: 2.6
Total magnetization, μB/f.u.: 0.0
E_form, eV per atom: -0.28

---

HfNb2HPd: relaxed, PBE.

Lattice parameters (Å, degrees): 4.0063 4.0063 4.7066 90.00 90.00 90.00
With the nearest neighbours (Å) after each atom.
Atoms (fractional coordinates):
Hf  0.0000  0.0000  0.0000  2 H 2.35
Nb  0.0000  0.5000  0.5000  2 H 2.00
Nb  0.5000  0.0000  0.5000  2 H 2.00
H  0.0000  0.0000  0.5000  4 Nb 2.00
Pd  0.5000  0.5000  0.0000  4 Hf 2.83, 8 Nb 3.09

Properties
Relative energy among the computed polymorphs, meV/atom: 0
Electronic total energy, eV per atom: -7.9478
DOS at the Fermi energy, states/eV/cell: 4.1
Total magnetization, μB/f.u.: 0.0

---

Pa2Fe5Ge3: relaxed, PBE.

Lattice parameters (Å, degrees): 7.9332 7.9332 7.9332 101.69 93.44 137.51
With the nearest neighbours (Å) after each atom.
Atoms (fractional coordinates):
Pa  0.1261  0.2434  0.3695  6 Fe 2.82-3.15, 4 Ge 2.98-3.11
Pa  0.3739  0.7434  0.1173  6 Fe 2.82-3.15, 4 Ge 2.98-3.11
Pa  0.6261  0.2566  0.8827  6 Fe 2.82-3.15, 4 Ge 2.98-3.11
Pa  0.8739  0.7566  0.6305  6 Fe 2.82-3.15, 4 Ge 2.98-3.11
Fe  0.0106  0.7500  0.2606  2 Fe 2.30, 2 Ge 2.41
Fe  0.1332  0.6377  0.7709  2 Fe 2.30, 3 Ge 2.37-2.46
Fe  0.2500  0.2500  0.0000  4 Ge 2.35
Fe  0.3668  0.1377  0.5044  2 Fe 2.30, 3 Ge 2.37-2.46
Fe  0.4894  0.7500  0.7394  2 Fe 2.30, 2 Ge 2.41
Fe  0.5106  0.2500  0.2606  2 Fe 2.30, 2 Ge 2.41
Fe  0.6332  0.8623  0.4956  2 Fe 2.30, 3 Ge 2.37-2.46
Fe  0.7500  0.7500  0.0000  4 Ge 2.35
Fe  0.8668  0.3623  0.2291  2 Fe 2.30, 3 Ge 2.37-2.46
Fe  0.9894  0.2500  0.7394  2 Fe 2.30, 2 Ge 2.41
Ge  0.1255  0.8743  0.9998  5 Fe 2.35-2.41
Ge  0.2500  0.7500  0.5000  6 Fe 2.46-2.60
Ge  0.3745  0.3743  0.7488  5 Fe 2.35-2.41
Ge  0.6255  0.6257  0.2512  5 Fe 2.35-2.41
Ge  0.7500  0.2500  0.5000  6 Fe 2.46-2.60
Ge  0.8745  0.1257  0.0002  5 Fe 2.35-2.41

Properties
Relative energy among the computed polymorphs, meV/atom: 2
Electronic total energy, eV per atom: -7.7892
DOS at the Fermi energy, states/eV/cell: 24.4
Total magnetization, μB/f.u.: 5.0
E_form, eV per atom: -0.27

---

MgWBr: relaxed, PBE.

Lattice parameters (Å, degrees): 3.1353 3.1353 6.9547 90.00 90.00 120.00
With the nearest neighbours (Å) after each atom.
Atoms (fractional coordinates):
Mg  0.0000  0.0000  0.0000  3 W 2.86, 6 Mg 3.14
W  0.6667  0.3333  0.3186  3 Br 2.64, 3 Mg 2.86
Br  0.3333  0.6667  0.5958  3 W 2.64

Properties
Relative energy among the computed polymorphs, meV/atom: 0
Electronic total energy, eV per atom: -4.9232
DOS at the Fermi energy, states/eV/cell: 2.0
Formation energy (no corrections), eV per atom: 0.484
Total magnetization, μB/f.u.: 0.0

---

Pr3GaSb2: relaxed, PBE.

Lattice parameters (Å, degrees): 7.8198 7.8198 7.8198 146.69 132.09 59.61
With the nearest neighbours (Å) after each atom.
Atoms (fractional coordinates):
Pr  0.0000  0.0000  0.0000  2 Ga 3.18, 4 Sb 3.20
Pr  0.3321  0.3321  0.0000  4 Sb 3.16-3.18, 2 Ga 3.20
Pr  0.6679  0.6679  0.0000  4 Sb 3.16-3.18, 2 Ga 3.20
Ga  0.5000  0.0000  0.5000  6 Pr 3.18-3.20
Sb  0.1680  0.6680  0.5000  6 Pr 3.16-3.20
Sb  0.8320  0.3320  0.5000  6 Pr 3.16-3.20

Properties
Electronic total energy, eV per atom: -5.1333
DOS at the Fermi energy, states/eV/cell: 4.8
Formation energy (no corrections), eV per atom: -0.865
Total magnetization, μB/f.u.: 0.0

---

LaPuCl: relaxed, PBE.

Lattice parameters (Å, degrees): 3.7426 3.7426 12.7106 98.36 98.36 71.58
With the nearest neighbours (Å) after each atom.
Atoms (fractional coordinates):
La  0.2296  0.2296  0.2160  1 Pu 2.67, 3 Cl 2.93-2.95
La  0.7704  0.7704  0.7840  1 Pu 2.67, 3 Cl 2.93-2.95
Pu  0.3157  0.3157  0.0171  3 Pu 2.34-2.35
Pu  0.6843  0.6843  0.9829  3 Pu 2.34-2.35
Cl  0.3318  0.3318  0.6392  3 La 2.93-2.95
Cl  0.6682  0.6682  0.3608  3 La 2.93-2.95

Properties
Electronic total energy, eV per atom: -7.9818
DOS at the Fermi energy, states/eV/cell: 4.1
Formation energy (no corrections), eV per atom: -0.947
Total magnetization, μB/f.u.: 0.0

---

CoIrPt2: relaxed, PBE.

Lattice parameters (Å, degrees): 4.3654 4.3654 4.3654 60.00 60.00 60.00
With the nearest neighbours (Å) after each atom.
Atoms (fractional coordinates):
Co  0.0000  0.0000  0.0000  8 Pt 2.67
Ir  0.5000  0.5000  0.5000  8 Pt 2.67
Pt  0.2500  0.2500  0.2500  4 Co 2.67, 4 Ir 2.67
Pt  0.7500  0.7500  0.7500  4 Co 2.67, 4 Ir 2.67

Properties
Relative energy among the computed polymorphs, meV/atom: 298
Electronic total energy, eV per atom: -6.7372
DOS at the Fermi energy, states/eV/cell: 8.0
Total magnetization, μB/f.u.: 2.2
E_form, eV per atom: 0.27

---

CrGePb3: relaxed, PBE.

Lattice parameters (Å, degrees): 5.2429 5.2429 5.2429 90.00 90.00 90.00
With the nearest neighbours (Å) after each atom.
Atoms (fractional coordinates):
Cr  0.0000  0.0000  0.0000  6 Pb 2.62
Ge  0.5000  0.5000  0.5000  12 Pb 3.71
Pb  0.0000  0.0000  0.5000  2 Cr 2.62
Pb  0.0000  0.5000  0.0000  2 Cr 2.62
Pb  0.5000  0.0000  0.0000  2 Cr 2.62

Properties
Relative energy among the computed polymorphs, meV/atom: 0
Electronic total energy, eV per atom: -4.4909
DOS at the Fermi energy, states/eV/cell: 3.0
Total magnetization, μB/f.u.: 3.1
E_form, eV per atom: 0.58

---

NiSe3: relaxed, PBE.

Lattice parameters (Å, degrees): 2.8156 2.8156 10.6424 90.00 90.00 103.37
With the nearest neighbours (Å) after each atom.
Atoms (fractional coordinates):
Ni  0.0000  0.0000  0.0000  4 Se 2.48
Se  0.0000  0.0000  0.5000  4 Se 2.82
Se  0.5000  0.5000  0.1651  2 Ni 2.48
Se  0.5000  0.5000  0.8349  2 Ni 2.48

Properties
Electronic total energy, eV per atom: -3.8674
DOS at the Fermi energy, states/eV/cell: 3.4
Formation energy (no corrections), eV per atom: 0.191
Total magnetization, μB/f.u.: 0.0

---

ZnGa6Cu12: relaxed, PBE.

Lattice parameters (Å, degrees): 6.9004 6.9004 6.9004 106.33 106.33 106.33
With the nearest neighbours (Å) after each atom.
Atoms (fractional coordinates):
Zn  0.0000  0.0000  0.0000  6 Cu 2.53
Ga  0.3009  0.3009  0.6958  8 Cu 2.50-2.68, 2 Ga 2.73
Ga  0.3009  0.6958  0.3009  8 Cu 2.50-2.68, 2 Ga 2.73
Ga  0.3042  0.6991  0.6991  8 Cu 2.50-2.68, 2 Ga 2.73
Ga  0.6958  0.3009  0.3009  8 Cu 2.50-2.68, 2 Ga 2.73
Ga  0.6991  0.3042  0.6991  8 Cu 2.50-2.68, 2 Ga 2.73
Ga  0.6991  0.6991  0.3042  8 Cu 2.50-2.68, 2 Ga 2.73
Cu  0.1018  0.3359  0.3358  1 Zn 2.53, 4 Cu 2.55-2.59, 4 Ga 2.59-2.68
Cu  0.1129  0.5000  0.8871  3 Cu 2.49-2.55, 4 Ga 2.50-2.53
Cu  0.1129  0.8871  0.5000  3 Cu 2.49-2.55, 4 Ga 2.50-2.53
Cu  0.3358  0.1018  0.3358  1 Zn 2.53, 4 Cu 2.55-2.59, 4 Ga 2.59-2.68
Cu  0.3358  0.3358  0.1018  1 Zn 2.53, 4 Cu 2.55-2.59, 4 Ga 2.59-2.68
Cu  0.5000  0.1129  0.8871  3 Cu 2.49-2.55, 4 Ga 2.50-2.53
Cu  0.5000  0.8871  0.1129  3 Cu 2.49-2.55, 4 Ga 2.50-2.53
Cu  0.6641  0.6642  0.8982  1 Zn 2.53, 4 Cu 2.55-2.59, 4 Ga 2.59-2.68
Cu  0.6641  0.8982  0.6641  1 Zn 2.53, 4 Cu 2.55-2.59, 4 Ga 2.59-2.68
Cu  0.8871  0.1129  0.5000  3 Cu 2.49-2.55, 4 Ga 2.50-2.53
Cu  0.8871  0.5000  0.1129  3 Cu 2.49-2.55, 4 Ga 2.50-2.53
Cu  0.8982  0.6642  0.6642  1 Zn 2.53, 4 Cu 2.55-2.59, 4 Ga 2.59-2.68

Properties
Electronic total energy, eV per atom: -3.5355
DOS at the Fermi energy, states/eV/cell: 5.6
Total magnetization, μB/f.u.: 0.0
E_form, eV per atom: 0.07

---

In12Ge5Te3: relaxed, PBE.

Lattice parameters (Å, degrees): 14.9200 14.9200 14.9200 109.47 109.47 109.47
With the nearest neighbours (Å) after each atom.
Atoms (fractional coordinates):
In  0.0422  0.2142  0.1248  2 Ge 2.72-2.83
In  0.0422  0.3279  0.9173  2 Ge 2.72-2.83
In  0.0827  0.6248  0.4106  2 Ge 2.72-2.83
In  0.0827  0.9578  0.6721  2 Ge 2.72-2.83
In  0.0894  0.7143  0.6721  2 Ge 2.72-2.83
In  0.0894  0.8752  0.4173  2 Ge 2.72-2.83
In  0.1248  0.0422  0.2142  2 Ge 2.72-2.83
In  0.1248  0.5827  0.9106  2 Ge 2.72-2.83
In  0.1721  0.2142  0.5894  2 Ge 2.72-2.83
In  0.1721  0.4578  0.5827  2 Ge 2.72-2.83
In  0.2142  0.1248  0.0422  2 Ge 2.72-2.83
In  0.2142  0.5894  0.1721  2 Ge 2.72-2.83
In  0.2858  0.3279  0.9106  2 Ge 2.72-2.83
In  0.2858  0.4578  0.3752  2 Ge 2.72-2.83
In  0.3279  0.9106  0.2858  2 Ge 2.72-2.83
In  0.3279  0.9173  0.0422  2 Ge 2.72-2.83
In  0.3752  0.2858  0.4578  2 Ge 2.72-2.83
In  0.3752  0.5894  0.9173  2 Ge 2.72-2.83
In  0.4106  0.0827  0.6248  2 Ge 2.72-2.83
In  0.4106  0.8279  0.7857  2 Ge 2.72-2.83
In  0.4173  0.0894  0.8752  2 Ge 2.72-2.83
In  0.4173  0.8279  0.5422  2 Ge 2.72-2.83
In  0.4578  0.3752  0.2858  2 Ge 2.72-2.83
In  0.4578  0.5827  0.1721  2 Ge 2.72-2.83
In  0.5422  0.4173  0.8279  2 Ge 2.72-2.83
In  0.5422  0.6248  0.7143  2 Ge 2.72-2.83
In  0.5827  0.1721  0.4578  2 Ge 2.72-2.83
In  0.5827  0.9106  0.1248  2 Ge 2.72-2.83
In  0.5894  0.1721  0.2142  2 Ge 2.72-2.83
In  0.5894  0.9173  0.3752  2 Ge 2.72-2.83
In  0.6248  0.4106  0.0827  2 Ge 2.72-2.83
In  0.6248  0.7143  0.5422  2 Ge 2.72-2.83
In  0.6721  0.0827  0.9578  2 Ge 2.72-2.83
In  0.6721  0.0894  0.7143  2 Ge 2.72-2.83
In  0.7143  0.5422  0.6248  2 Ge 2.72-2.83
In  0.7143  0.6721  0.0894  2 Ge 2.72-2.83
In  0.7857  0.4106  0.8279  2 Ge 2.72-2.83
In  0.7857  0.8752  0.9578  2 Ge 2.72-2.83
In  0.8279  0.5422  0.4173  2 Ge 2.72-2.83
In  0.8279  0.7857  0.4106  2 Ge 2.72-2.83
In  0.8752  0.4173  0.0894  2 Ge 2.72-2.83
In  0.8752  0.9578  0.7857  2 Ge 2.72-2.83
In  0.9106  0.1248  0.5827  2 Ge 2.72-2.83
In  0.9106  0.2858  0.3279  2 Ge 2.72-2.83
In  0.9173  0.0422  0.3279  2 Ge 2.72-2.83
In  0.9173  0.3752  0.5894  2 Ge 2.72-2.83
In  0.9578  0.6721  0.0827  2 Ge 2.72-2.83
In  0.9578  0.7857  0.8752  2 Ge 2.72-2.83
Ge  0.0000  0.0000  0.0000  6 In 2.83
Ge  0.0000  0.0000  0.5000  6 In 2.83
Ge  0.0000  0.5000  0.0000  6 In 2.83
Ge  0.0000  0.5000  0.5000  6 In 2.83
Ge  0.1250  0.7500  0.8750  4 In 2.72
Ge  0.1250  0.8750  0.2500  4 In 2.72
Ge  0.2500  0.1250  0.8750  4 In 2.72
Ge  0.2500  0.6250  0.3750  4 In 2.72
Ge  0.3750  0.2500  0.6250  4 In 2.72
Ge  0.3750  0.6250  0.7500  4 In 2.72
Ge  0.5000  0.0000  0.0000  6 In 2.83
Ge  0.5000  0.0000  0.5000  6 In 2.83
Ge  0.5000  0.5000  0.0000  6 In 2.83
Ge  0.5000  0.5000  0.5000  6 In 2.83
Ge  0.6250  0.3750  0.2500  4 In 2.72
Ge  0.6250  0.7500  0.3750  4 In 2.72
Ge  0.7500  0.3750  0.6250  4 In 2.72
Ge  0.7500  0.8750  0.1250  4 In 2.72
Ge  0.8750  0.1250  0.7500  4 In 2.72
Ge  0.8750  0.2500  0.1250  4 In 2.72
Te  0.1250  0.2500  0.3750  8 In 3.23-3.30
Te  0.1250  0.3750  0.7500  8 In 3.23-3.30
Te  0.2500  0.3750  0.1250  8 In 3.23-3.30
Te  0.2500  0.8750  0.6250  8 In 3.23-3.30
Te  0.3750  0.1250  0.2500  8 In 3.23-3.30
Te  0.3750  0.7500  0.1250  8 In 3.23-3.30
Te  0.6250  0.2500  0.8750  8 In 3.23-3.30
Te  0.6250  0.8750  0.7500  8 In 3.23-3.30
Te  0.7500  0.1250  0.3750  8 In 3.23-3.30
Te  0.7500  0.6250  0.8750  8 In 3.23-3.30
Te  0.8750  0.6250  0.2500  8 In 3.23-3.30
Te  0.8750  0.7500  0.6250  8 In 3.23-3.30

Properties
Electronic total energy, eV per atom: -3.1465
DOS at the Fermi energy, states/eV/cell: 26.8
Formation energy (no corrections), eV per atom: 0.122
Total magnetization, μB/f.u.: 0.0

---

PrAl11: relaxed, PBE.

Lattice parameters (Å, degrees): 8.6055 8.6055 8.6055 100.26 100.26 130.07
With the nearest neighbours (Å) after each atom.
Atoms (fractional coordinates):
Pr  0.3750  0.6250  0.7500  18 Al 3.45-3.63
Pr  0.6250  0.3750  0.2500  18 Al 3.45-3.63
Al  0.0000  0.0000  0.0000  10 Al 2.73-2.90
Al  0.0000  0.0000  0.5000  10 Al 2.73-2.90
Al  0.0000  0.5000  0.0000  10 Al 2.73-2.90
Al  0.1250  0.8750  0.2500  12 Al 2.90-3.00
Al  0.1367  0.5580  0.3351  9 Al 2.69-3.01
Al  0.1367  0.8016  0.5787  9 Al 2.69-3.01
Al  0.1984  0.2771  0.3351  9 Al 2.69-3.01
Al  0.1984  0.8633  0.9213  9 Al 2.69-3.01
Al  0.2771  0.1984  0.8351  9 Al 2.69-3.01
Al  0.2771  0.4420  0.0787  9 Al 2.69-3.01
Al  0.4420  0.2771  0.5787  9 Al 2.69-3.01
Al  0.4420  0.8633  0.1649  9 Al 2.69-3.01
Al  0.5000  0.0000  0.5000  10 Al 2.73-2.90
Al  0.5580  0.1367  0.8351  9 Al 2.69-3.01
Al  0.5580  0.7229  0.4213  9 Al 2.69-3.01
Al  0.7229  0.5580  0.9213  9 Al 2.69-3.01
Al  0.7229  0.8016  0.1649  9 Al 2.69-3.01
Al  0.8016  0.1367  0.0787  9 Al 2.69-3.01
Al  0.8016  0.7229  0.6649  9 Al 2.69-3.01
Al  0.8633  0.1984  0.4213  9 Al 2.69-3.01
Al  0.8633  0.4420  0.6649  9 Al 2.69-3.01
Al  0.8750  0.1250  0.7500  12 Al 2.90-3.00

Properties
Electronic total energy, eV per atom: -3.9131
DOS at the Fermi energy, states/eV/cell: 12.6
Total magnetization, μB/f.u.: 0.0
E_form, eV per atom: -0.08

---

- Which value of total magnetization does entry 2 give?
  0.0 μB/f.u.